# 1
YTaSb2 | PBE | optimized geometry

Cell lengths 5.140, 5.140, 5.140 Å; angles 60.00, 60.00, 60.00 degrees
Element x y z (fractional)
Y1 0.000 0.000 0.000
Ta1 0.750 0.750 0.750
Sb1 0.250 0.250 0.250
Sb2 0.500 0.500 0.500

Output
- Formation energy (no corrections): 0.242 eV/atom
- Theoretical density: 8.88 g cm⁻³
- Space-group type: F-43m (216)
- DFT total energy: -6.40 eV per atom
- Energy above the lowest structure with this stoichiometry: 0.559 eV per atom
- Volume: 24.00 Å³ per atom

=====

# 2
La2Nd3Sm6Th | PBE | optimized geometry

Cell lengths 6.353, 6.353, 12.047 Å; angles 95.04, 95.04, 119.98 degrees
Element x y z (fractional)
La1 0.166 0.834 0.000
La2 0.834 0.166 0.000
Nd1 0.000 0.000 0.500
Nd2 0.333 0.667 0.500
Nd3 0.667 0.333 0.500
Sm1 0.089 0.417 0.752
Sm2 0.255 0.255 0.248
Sm3 0.417 0.089 0.752
Sm4 0.583 0.911 0.248
Sm5 0.745 0.745 0.752
Sm6 0.911 0.583 0.248
Th1 0.500 0.500 0.000

Output
- Theoretical density: 7.39 g cm⁻³
- Space-group type: C2/m (12)
- DFT total energy: -4.97 eV per atom
- Energy of formation from the pure elements: 0.02 eV per atom
- Volume: 34.55 Å³ per atom

=====

# 3
SiSe | PBE | optimized geometry

Cell lengths 6.887, 6.887, 6.416 Å; angles 94.02, 94.02, 29.90 degrees
Element x y z (fractional)
Si1 0.000 0.000 0.000
Si2 0.507 0.507 0.586
Si3 0.564 0.564 0.233
Se1 0.122 0.122 0.744
Se2 0.190 0.190 0.274
Se3 0.881 0.881 0.672

Output
- Formation energy (no corrections): 0.020 eV/atom
- Theoretical density: 3.52 g cm⁻³
- Space-group type: Cm (8)
- DFT total energy: -4.43 eV per atom
- Volume: 25.22 Å³ per atom

=====

# 4
Eu3Pd5Br12 | PBE | optimized geometry

Cell lengths 14.419, 14.419, 14.419 Å; angles 109.47, 109.47, 109.47 degrees
Element x y z (fractional)
Eu1 0.125 0.250 0.375
Eu2 0.125 0.375 0.750
Eu3 0.250 0.375 0.125
Eu4 0.250 0.875 0.625
Eu5 0.375 0.125 0.250
Eu6 0.375 0.750 0.125
Eu7 0.625 0.250 0.875
Eu8 0.625 0.875 0.750
Eu9 0.750 0.125 0.375
Eu10 0.750 0.625 0.875
Eu11 0.875 0.625 0.250
Eu12 0.875 0.750 0.625
Pd1 0.000 0.000 0.000
Pd2 0.000 0.000 0.500
Pd3 0.000 0.500 0.000
Pd4 0.000 0.500 0.500
Pd5 0.125 0.750 0.875
Pd6 0.125 0.875 0.250
Pd7 0.250 0.125 0.875
Pd8 0.250 0.625 0.375
Pd9 0.375 0.250 0.625
Pd10 0.375 0.625 0.750
Pd11 0.500 0.000 0.000
Pd12 0.500 0.000 0.500
Pd13 0.500 0.500 0.000
Pd14 0.500 0.500 0.500
Pd15 0.625 0.375 0.250
Pd16 0.625 0.750 0.375
Pd17 0.750 0.375 0.625
Pd18 0.750 0.875 0.125
Pd19 0.875 0.125 0.750
Pd20 0.875 0.250 0.125
Br1 0.034 0.207 0.124
Br2 0.034 0.327 0.909
Br3 0.083 0.707 0.673
Br4 0.083 0.876 0.409
Br5 0.091 0.624 0.417
Br6 0.091 0.966 0.673
Br7 0.124 0.034 0.207
Br8 0.124 0.591 0.917
Br9 0.173 0.207 0.583
Br10 0.173 0.466 0.591
Br11 0.207 0.124 0.034
Br12 0.207 0.583 0.173
Br13 0.293 0.327 0.917
Br14 0.293 0.466 0.376
Br15 0.327 0.909 0.034
Br16 0.327 0.917 0.293
Br17 0.376 0.293 0.466
Br18 0.376 0.583 0.909
Br19 0.409 0.083 0.876
Br20 0.409 0.827 0.534
Br21 0.417 0.091 0.624
Br22 0.417 0.827 0.793
Br23 0.466 0.376 0.293
Br24 0.466 0.591 0.173
Br25 0.534 0.409 0.827
Br26 0.534 0.624 0.707
Br27 0.583 0.173 0.207
Br28 0.583 0.909 0.376
Br29 0.591 0.173 0.466
Br30 0.591 0.917 0.124
Br31 0.624 0.417 0.091
Br32 0.624 0.707 0.534
Br33 0.673 0.083 0.707
Br34 0.673 0.091 0.966
Br35 0.707 0.534 0.624
Br36 0.707 0.673 0.083
Br37 0.793 0.417 0.827
Br38 0.793 0.876 0.966
Br39 0.827 0.534 0.409
Br40 0.827 0.793 0.417
Br41 0.876 0.409 0.083
Br42 0.876 0.966 0.793
Br43 0.909 0.034 0.327
Br44 0.909 0.376 0.583
Br45 0.917 0.124 0.591
Br46 0.917 0.293 0.327
Br47 0.966 0.673 0.091
Br48 0.966 0.793 0.876

Output
- Formation energy (no corrections): -0.868 eV/atom
- Theoretical density: 5.60 g cm⁻³
- Space-group type: Ia-3d (230)
- DFT total energy: -4.71 eV per atom
- Volume: 28.85 Å³ per atom

=====

# 5
KSi2P | PBE | optimized geometry

Cell lengths 3.442, 3.442, 7.126 Å; angles 90.00, 90.00, 90.00 degrees
Element x y z (fractional)
K1 0.000 0.000 0.000
Si1 0.500 0.500 0.341
Si2 0.500 0.500 0.659
P1 0.000 0.000 0.500

Output
- Formation energy (no corrections): 0.232 eV/atom
- Theoretical density: 2.48 g cm⁻³
- Space-group type: P4/mmm (123)
- DFT total energy: -4.11 eV per atom
- Energy above the lowest structure with this stoichiometry: 0.134 eV per atom
- Volume: 21.11 Å³ per atom

=====

# 6
Ba4Ca4Cu6Hg2O17 | PBE | optimized geometry

Cell lengths 16.637, 16.637, 16.637 Å; angles 161.09, 161.09, 26.86 degrees
Element x y z (fractional)
Ba1 0.083 0.083 0.000
Ba2 0.412 0.412 0.000
Ba3 0.588 0.588 0.000
Ba4 0.917 0.917 0.000
Ca1 0.198 0.198 0.000
Ca2 0.301 0.301 0.000
Ca3 0.699 0.699 0.000
Ca4 0.802 0.802 0.000
Cu1 0.150 0.650 0.500
Cu2 0.250 0.750 0.500
Cu3 0.350 0.850 0.500
Cu4 0.650 0.150 0.500
Cu5 0.750 0.250 0.500
Cu6 0.850 0.350 0.500
Hg1 0.000 0.500 0.500
Hg2 0.500 0.000 0.500
O1 0.000 0.000 0.000
O2 0.000 0.000 0.500
O3 0.000 0.500 0.000
O4 0.064 0.564 0.500
O5 0.099 0.099 0.503
O6 0.099 0.596 0.000
O7 0.404 0.404 0.503
O8 0.404 0.901 0.000
O9 0.436 0.936 0.500
O10 0.500 0.000 0.000
O11 0.500 0.500 0.500
O12 0.564 0.064 0.500
O13 0.596 0.099 0.000
O14 0.596 0.596 0.497
O15 0.901 0.404 0.000
O16 0.901 0.901 0.497
O17 0.936 0.436 0.500

Output
- Formation energy (no corrections): -1.637 eV/atom
- Theoretical density: 6.06 g cm⁻³
- Space-group type: I4/mmm (139)
- DFT total energy: -5.43 eV per atom
- Volume: 14.65 Å³ per atom

=====

# 7
LiCu2Pt | PBE | optimized geometry

Cell lengths 4.900, 4.900, 4.900 Å; angles 144.76, 130.88, 61.89 degrees
Element x y z (fractional)
Li1 0.000 0.000 0.000
Cu1 0.243 0.743 0.500
Cu2 0.757 0.257 0.500
Pt1 0.500 0.500 0.000

Output
- Theoretical density: 10.76 g cm⁻³
- Space-group type: Immm (71)
- DFT total energy: -4.27 eV per atom
- Energy above the lowest structure with this stoichiometry: 0.045 eV per atom
- Energy of formation from the pure elements: -0.23 eV per atom
- Volume: 12.70 Å³ per atom

=====

# 8
Tm12Cu6Pd | PBE | optimized geometry

Cell lengths 8.044, 8.044, 8.044 Å; angles 98.97, 98.97, 98.97 degrees
Element x y z (fractional)
Tm1 0.044 0.913 0.673
Tm2 0.087 0.327 0.956
Tm3 0.186 0.565 0.416
Tm4 0.327 0.956 0.087
Tm5 0.416 0.186 0.565
Tm6 0.435 0.584 0.814
Tm7 0.565 0.416 0.186
Tm8 0.584 0.814 0.435
Tm9 0.673 0.044 0.913
Tm10 0.814 0.435 0.584
Tm11 0.913 0.673 0.044
Tm12 0.956 0.087 0.327
Cu1 0.131 0.312 0.625
Cu2 0.312 0.625 0.131
Cu3 0.375 0.869 0.688
Cu4 0.625 0.131 0.312
Cu5 0.688 0.375 0.869
Cu6 0.869 0.688 0.375
Pd1 0.000 0.000 0.000

Output
- Theoretical density: 8.37 g cm⁻³
- Space-group type: R-3 (148)
- DFT total energy: -4.43 eV per atom
- Energy above the lowest structure with this stoichiometry: 0.189 eV per atom
- Energy of formation from the pure elements: -0.04 eV per atom
- Volume: 26.27 Å³ per atom

=====

# 9
Pm2Pr2Nd | PBE | optimized geometry

Cell lengths 9.004, 9.004, 9.004 Å; angles 149.73, 149.73, 43.34 degrees
Element x y z (fractional)
Pm1 0.250 0.750 0.500
Pm2 0.750 0.250 0.500
Pr1 0.094 0.094 0.000
Pr2 0.906 0.906 0.000
Nd1 0.500 0.500 0.000

Output
- Theoretical density: 6.43 g cm⁻³
- Space-group type: I4/mmm (139)
- DFT total energy: -4.45 eV per atom
- Energy above the lowest structure with this stoichiometry: 0.210 eV per atom
- Energy of formation from the pure elements: 0.32 eV per atom
- Volume: 37.00 Å³ per atom

=====

# 10
KMnSe | PBE | optimized geometry

Cell lengths 9.624, 9.624, 9.624 Å; angles 116.10, 77.17, 141.45 degrees
Element x y z (fractional)
K1 0.006 0.497 0.009
K2 0.014 0.250 0.264
K3 0.349 0.273 0.577
K4 0.488 0.997 0.991
K5 0.696 0.773 0.423
K6 0.986 0.750 0.736
Mn1 0.308 0.308 0.000
Mn2 0.308 0.808 0.500
Mn3 0.631 0.142 0.403
Mn4 0.631 0.728 0.989
Mn5 0.739 0.228 0.597
Mn6 0.739 0.642 0.011
Se1 0.137 0.001 0.137
Se2 0.137 0.500 0.636
Se3 0.441 0.744 0.197
Se4 0.546 0.244 0.803
Se5 0.864 0.000 0.863
Se6 0.864 0.501 0.364

Output
- Formation energy (no corrections): -0.276 eV/atom
- Theoretical density: 3.54 g cm⁻³
- Space-group type: Ima2 (46)
- DFT total energy: -4.86 eV per atom
- Energy above the lowest structure with this stoichiometry: 0.088 eV per atom
- Volume: 27.05 Å³ per atom